# 1
Compound: Tl2TcBr4O2
Source: the Alexandria database
Functional: PBE
Structure: relaxed

formation energy from raw total energies = -0.758 eV/atom
E_tot = -4.281 eV per atom
magnetic moment = 1.0 μB/cell

Structure (POSCAR):
```
Tl2TcBr4O2
1.0
5.8968 -3.7768 0.0000
5.8968 3.7768 0.0000
-4.3762 0.0000 5.8635
Tl Tc Br O
2 1 4 2
direct
0.2402 0.2402 0.1750 Tl
0.7598 0.7598 0.8250 Tl
0.5000 0.5000 0.0000 Tc
0.2219 0.7066 0.7213 Br
0.2934 0.7781 0.2787 Br
0.7066 0.2219 0.7213 Br
0.7781 0.2934 0.2787 Br
0.3167 0.3167 0.8764 O
0.6833 0.6833 0.1236 O
```

# 2
Compound: BiB2Ru2
Source: the Alexandria database
Functional: PBE
Structure: relaxed

polymorph energy (0 for the lowest one) = 0 meV per atom
energy relative to the elements = 0.2916 eV/atom
E_tot = -6.866 eV per atom
magnetic moment = 0.0 μB/cell

Structure (POSCAR):
```
BiB2Ru2
1.0
-1.7959 1.7959 5.3885
1.7959 -1.7959 5.3885
1.7959 1.7959 -5.3885
Bi B Ru
1 2 2
direct
0.0000 0.0000 0.0000 Bi
0.2500 0.7500 0.5000 B
0.7500 0.2500 0.5000 B
0.3576 0.3576 0.0000 Ru
0.6424 0.6424 0.0000 Ru
```

# 3
Compound: Al2HgPt2
Source: the Alexandria database
Functional: PBE
Structure: relaxed

polymorph energy (0 for the lowest one) = 238 meV per atom
energy relative to the elements = -0.4433 eV/atom
E_tot = -4.417 eV per atom
magnetic moment = 0.0 μB/cell

Structure (POSCAR):
```
Al2HgPt2
1.0
-2.0040 2.0040 5.7372
2.0040 -2.0040 5.7372
2.0040 2.0040 -5.7372
Al Hg Pt
2 1 2
direct
0.1161 0.1161 0.0000 Al
0.8839 0.8839 0.0000 Al
0.5000 0.5000 0.0000 Hg
0.2500 0.7500 0.5000 Pt
0.7500 0.2500 0.5000 Pt
```

# 4
Compound: BeSiAg
Source: the Alexandria database
Functional: PBE
Structure: relaxed

polymorph energy (0 for the lowest one) = 127 meV per atom
formation energy from raw total energies = 0.404 eV/atom
E_tot = -3.596 eV per atom
magnetic moment = 0.0 μB/cell

Structure (POSCAR):
```
BeSiAg
1.0
-1.3474 1.7799 4.4380
1.3474 -1.7799 4.4380
1.3474 1.7799 -4.4380
Be Si Ag
1 1 1
direct
0.0000 0.0000 0.0000 Be
0.6186 0.6186 0.0000 Si
0.3205 0.3205 0.0000 Ag
```